(1)
Here is crystalline CeNdDyTl at its relaxed geometry from Alexandria via LeMat-Bulk. Energies are from PBE.

## Properties
Formation enthalpy at 0 K ... 0.04 eV per formula unit

a = 7.742 Å, b = 7.742 Å, c = 7.742 Å
α = 90.00°, β = 90.00°, γ = 90.00°
Space group F-43m (No. 216)
Asymmetric unit:
Ce1 0.000 0.000 0.000 [4 per cell]
Nd1 0.250 0.250 0.750 [4 per cell]
Dy1 0.250 0.250 0.250 [4 per cell]
Tl1 0.000 0.000 0.500 [4 per cell]

(2)
Here is crystalline Ce2Nd3DyTm6 at its relaxed geometry from Alexandria via LeMat-Bulk. Energies are from PBE.

## Properties
Formation enthalpy at 0 K ... 0.54 eV per formula unit

a = 6.150 Å, b = 10.647 Å, c = 11.653 Å
α = 90.00°, β = 100.12°, γ = 90.00°
Space group C2/m (No. 12)
Asymmetric unit:
Ce1 0.000 0.166 0.000 [4 per cell]
Nd1 0.000 0.000 0.500 [2 per cell]
Nd2 0.000 0.334 0.500 [4 per cell]
Dy1 0.000 0.500 0.000 [2 per cell]
Tm1 0.247 0.000 0.246 [4 per cell]
Tm2 0.250 0.168 0.754 [8 per cell]

(3)
Here is crystalline CeNd2DyTm at its relaxed geometry from Alexandria via LeMat-Bulk. Energies are from PBE.

## Properties
Formation enthalpy at 0 K ... 1.41 eV per formula unit

a = 6.103 Å, b = 6.714 Å, c = 8.152 Å
α = 90.00°, β = 90.00°, γ = 90.00°
Space group Pmma (No. 51)
Asymmetric unit:
Ce1 0.000 0.000 0.000 [2 per cell]
Nd1 0.250 0.265 0.310 [4 per cell]
Dy1 0.250 0.000 0.646 [2 per cell]
Tm1 0.250 0.500 0.877 [2 per cell]

(4)
Here is crystalline CeNdDy3Tm at its relaxed geometry from Alexandria via LeMat-Bulk. Energies are from PBE.

## Properties
Formation enthalpy at 0 K ... 0.91 eV per formula unit

a = 5.857 Å, b = 11.214 Å, c = 11.708 Å
α = 90.00°, β = 90.00°, γ = 90.00°
Space group Cmcm (No. 63)
Asymmetric unit:
Ce1 0.000 0.004 0.250 [4 per cell]
Nd1 0.000 0.500 0.000 [4 per cell]
Dy1 0.000 0.171 0.504 [8 per cell]
Dy2 0.000 0.326 0.250 [4 per cell]
Tm1 0.000 0.330 0.750 [4 per cell]

(5)
Here is crystalline CeNdDyTm3 at its relaxed geometry from Alexandria via LeMat-Bulk. Energies are from PBE.

## Properties
Formation enthalpy at 0 K ... 0.88 eV per formula unit

a = 5.780 Å, b = 11.347 Å, c = 11.573 Å
α = 90.00°, β = 90.00°, γ = 90.00°
Space group Cmcm (No. 63)
Asymmetric unit:
Ce1 0.000 0.002 0.250 [4 per cell]
Nd1 0.000 0.500 0.000 [4 per cell]
Dy1 0.000 0.325 0.250 [4 per cell]
Tm1 0.000 0.171 0.503 [8 per cell]
Tm2 0.000 0.329 0.750 [4 per cell]

(6)
Here is crystalline CeNd3Dy6Tm2 at its relaxed geometry from Alexandria via LeMat-Bulk. Energies are from PBE.

## Properties
Formation enthalpy at 0 K ... 0.43 eV per formula unit

a = 6.183 Å, b = 10.707 Å, c = 11.816 Å
α = 90.00°, β = 100.04°, γ = 90.00°
Space group C2/m (No. 12)
Asymmetric unit:
Ce1 0.000 0.000 0.000 [2 per cell]
Nd1 0.000 0.167 0.500 [4 per cell]
Nd2 0.000 0.500 0.500 [2 per cell]
Dy1 0.248 0.166 0.246 [8 per cell]
Dy2 0.250 0.000 0.754 [4 per cell]
Tm1 0.000 0.333 0.000 [4 per cell]